Record 1
Entry from Alexandria: a relaxed structure of AcCdIrRh (PBE).

```
AcCdIrRh
1.0
0.000 3.482 3.482
3.482 0.000 3.482
3.482 3.482 0.000
Ac Cd Ir Rh
1 1 1 1
Cartesian
0.000 0.000 0.000
3.482 3.482 3.482
1.741 1.741 1.741
5.223 5.223 5.223
```

Results
Calculated total energy, eV per atom: -5.475
Calculated density, g cm⁻³: 12.5
Energy of formation from the pure elements, eV per atom: -0.166
Magnetic moment, Bohr magnetons per cell: 0.000

---

Record 2
Entry from Alexandria: a relaxed structure of Ac3CdIrRh (PBE).

```
Ac3CdIrRh
1.0
8.860 0.000 0.000
0.000 4.437 0.000
-4.379 0.000 9.794
Ac Cd Ir Rh
6 2 2 2
Cartesian
0.822 1.109 1.364
-0.042 3.327 4.608
-1.267 3.327 8.458
5.748 1.109 1.336
4.522 1.109 5.186
3.659 3.327 8.430
3.238 3.327 2.606
1.242 1.109 7.188
-3.209 1.109 8.080
7.689 3.327 1.714
-2.619 3.327 5.933
7.099 1.109 3.861
```

Results
Calculated total energy, eV per atom: -5.328
Calculated density, g cm⁻³: 9.4
Energy of formation from the pure elements, eV per atom: -0.419
Magnetic moment, Bohr magnetons per cell: 0.000

---

Record 3
Entry from Alexandria: a relaxed structure of Ac2CdSb4Ir3 (PBE).

```
Ac2CdSb4Ir3
1.0
4.699 0.000 0.000
0.000 4.699 0.000
0.000 0.000 10.887
Ac Cd Sb Ir
2 1 4 3
Cartesian
0.000 2.350 2.663
2.350 0.000 8.224
0.000 0.000 5.443
0.000 0.000 0.000
0.000 2.350 6.991
2.350 0.000 3.896
2.350 2.350 0.000
0.000 2.350 9.630
2.350 0.000 1.257
2.350 2.350 5.443
```

Results
Uncorrected formation energy, eV/f.u.: -5.8
Calculated total energy, eV per atom: -5.803
Calculated density, g cm⁻³: 11.3
Magnetic moment, Bohr magnetons per cell: 0.000

---

Record 4
Entry from Alexandria: a relaxed structure of Ac2CdSnIr (PBE).

```
Ac2CdSnIr
1.0
8.213 0.000 0.000
0.000 4.709 0.000
-2.783 0.000 7.778
Ac Cd Sn Ir
4 2 2 2
Cartesian
0.020 1.177 2.597
-0.303 1.177 7.402
5.733 3.532 0.377
5.410 3.532 5.181
0.970 3.532 5.055
4.460 1.177 2.723
2.625 3.532 2.372
2.805 1.177 5.407
0.577 3.532 0.535
4.853 1.177 7.244
```

Results
Calculated total energy, eV per atom: -4.932
Calculated density, g cm⁻³: 9.7
Energy of formation from the pure elements, eV per atom: -0.533
Magnetic moment, Bohr magnetons per cell: 0.000